[1]
Compound: ErTmGaSn
Source: the Alexandria database
Functional: PBE
Structure: relaxed

Unit cell a=4.410 b=4.121 c=5.930 alpha=90.00 beta=111.83 gamma=90.00
Fractional positions:
1 Sn 0.418 0.000 0.836
2 Tm 0.857 0.500 0.715
3 Er 0.135 0.000 0.271
4 Ga 0.589 0.500 0.178

## Properties
E above lowest polymorph: 0 meV/atom
space group: No. 38
energy of formation from the pure elements: -669 meV per atom

---

[2]
Compound: LaYBr2
Source: the Alexandria database
Functional: PBE
Structure: relaxed

Unit cell a=5.153 b=5.153 c=6.367 alpha=78.56 beta=78.56 gamma=41.99
Fractional positions:
1 Y 0.750 0.750 0.750
2 Br 0.501 0.501 0.509
3 Br 0.999 0.999 0.991
4 La 0.250 0.250 0.250

## Properties
E_form (uncorrected): -1104 meV per atom
E above lowest polymorph: 117 meV/atom
space group: No. 12

---

[3]
Compound: BaTlTc
Source: the Alexandria database
Functional: PBE
Structure: relaxed

Unit cell a=6.474 b=6.474 c=6.474 alpha=145.99 beta=146.02 gamma=48.84
Fractional positions:
1 Tl 0.718 0.718 0.000
2 Tc 0.284 0.284 0.000
3 Ba 0.998 0.998 0.000

## Properties
E above lowest polymorph: 0 meV/atom
space group: No. 107
energy of formation from the pure elements: 586 meV per atom

---

[4]
Compound: Tl2HgP2
Source: the Alexandria database
Functional: PBE
Structure: relaxed

Unit cell a=5.539 b=5.539 c=5.961 alpha=62.32 beta=62.32 gamma=90.00
Fractional positions:
1 Tl 0.250 0.750 0.500
2 Tl 0.750 0.250 0.500
3 Hg 0.000 0.000 0.000
4 P 0.385 0.385 0.231
5 P 0.615 0.615 0.769

## Properties
E above lowest polymorph: 13 meV/atom
space group: No. 139
energy of formation from the pure elements: 126 meV per atom